Record 1
{"formula": "SrNi2Rh", "functional": "meta-GGA SCAN", "state": "PBEsol geometry", "final_energy_ev_per_atom": -22.17, "formation_energy_ev_per_atom": -0.069, "polymorph_energy_ev_per_atom": 0.024, "cell": [[2.062, 1.191, 5.135], [-2.062, 1.191, 5.135], [0.000, -2.381, 5.135]], "species": ["Sr", "Ni", "Ni", "Rh"], "fractional_positions": [[0.000, 0.000, 0.000], [0.185, 0.185, 0.185], [0.495, 0.495, 0.495], [0.813, 0.813, 0.813]]}

=====

Record 2
{"formula": "InAg2Ru", "functional": "meta-GGA SCAN", "state": "PBEsol geometry", "final_energy_ev_per_atom": -32.44, "formation_energy_ev_per_atom": 0.298, "cell": [[-1.971, 1.971, 4.270], [1.971, -1.971, 4.270], [1.971, 1.971, -4.270]], "species": ["In", "Ag", "Ag", "Ru"], "fractional_positions": [[0.000, 0.000, 0.000], [0.250, 0.750, 0.500], [0.750, 0.250, 0.500], [0.500, 0.500, 0.000]]}

=====

Record 3
{"formula": "Be3Ag", "functional": "meta-GGA SCAN", "state": "PBEsol geometry", "final_energy_ev_per_atom": -10.99, "formation_energy_ev_per_atom": 0.115, "polymorph_energy_ev_per_atom": 0.032, "cell": [[3.582, 0.000, 0.000], [0.000, 3.582, 0.000], [0.000, 0.000, 3.224]], "species": ["Be", "Be", "Be", "Ag"], "fractional_positions": [[0.000, 0.000, 0.000], [0.000, 0.500, 0.500], [0.500, 0.000, 0.500], [0.500, 0.500, 0.000]]}

=====

Record 4
{"formula": "ZnFePCl2", "functional": "meta-GGA SCAN", "state": "PBEsol geometry", "final_energy_ev_per_atom": -11.44, "polymorph_energy_ev_per_atom": 0.000, "cell": [[4.605, 0.000, 0.000], [0.000, 4.605, 0.000], [0.000, 0.000, 4.358]], "species": ["Zn", "Fe", "P", "Cl", "Cl"], "fractional_positions": [[0.000, 0.000, 0.000], [0.500, 0.500, 0.500], [0.500, 0.500, 0.000], [0.000, 0.500, 0.500], [0.500, 0.000, 0.500]]}

=====

Record 5
{"formula": "Y2MnAu", "functional": "meta-GGA SCAN", "state": "PBEsol geometry", "final_energy_ev_per_atom": -36.07, "formation_energy_ev_per_atom": -0.299, "polymorph_energy_ev_per_atom": 0.240, "cell": [[1.799, 1.038, 8.359], [-1.799, 1.038, 8.359], [0.000, -2.077, 8.359]], "species": ["Y", "Y", "Mn", "Au"], "fractional_positions": [[0.250, 0.250, 0.250], [0.750, 0.750, 0.750], [0.000, 0.000, 0.000], [0.500, 0.500, 0.500]]}

=====

Record 6
{"formula": "YAlNi2", "functional": "meta-GGA SCAN", "state": "PBEsol geometry", "final_energy_ev_per_atom": -17.21, "formation_energy_ev_per_atom": -0.229, "cell": [[-1.885, 1.932, 4.240], [1.885, -1.932, 4.240], [1.885, 1.932, -4.240]], "species": ["Y", "Al", "Ni", "Ni"], "fractional_positions": [[0.000, 0.000, 0.000], [0.253, 0.753, 0.500], [0.492, 0.492, 0.000], [0.748, 0.248, 0.500]]}

=====

Record 7
{"formula": "TcP2Os", "functional": "meta-GGA SCAN", "state": "PBEsol geometry", "final_energy_ev_per_atom": -31.64, "formation_energy_ev_per_atom": 0.294, "polymorph_energy_ev_per_atom": 0.391, "cell": [[-1.731, 1.731, 4.393], [1.731, -1.731, 4.393], [1.731, 1.731, -4.393]], "species": ["Tc", "P", "P", "Os"], "fractional_positions": [[0.000, 0.000, 0.000], [0.250, 0.750, 0.500], [0.500, 0.500, 0.000], [0.750, 0.250, 0.500]]}

=====

Record 8
{"formula": "K3Rh", "functional": "meta-GGA SCAN", "state": "PBEsol geometry", "final_energy_ev_per_atom": -14.11, "formation_energy_ev_per_atom": 0.581, "cell": [[-2.789, 2.789, 3.954], [2.789, -2.789, 3.954], [2.789, 2.789, -3.954]], "species": ["K", "K", "K", "Rh"], "fractional_positions": [[0.000, 0.000, 0.000], [0.250, 0.750, 0.500], [0.750, 0.250, 0.500], [0.500, 0.500, 0.000]]}

=====

Number 1: V 18.91 A^3/atom. Number 2: V 16.58 A^3/atom. Number 3: V 10.34 A^3/atom. Number 4: V 18.49 A^3/atom. Number 5: V 23.42 A^3/atom. Number 6: V 15.44 A^3/atom. Number 7: V 13.17 A^3/atom. Number 8: V 30.76 A^3/atom.